1.
# LaHo2Ir9, optimized geometry, DFT PBE
data_LaHo2Ir9
_symmetry_space_group_name_H-M 'R -3 m'
_symmetry_Int_Tables_number 166
_symmetry_space_group_name_Hall '-R 3 2"'
_cell_length_a 5.3476
_cell_length_b 5.3476
_cell_length_c 26.2477
_cell_angle_alpha 90.00
_cell_angle_beta 90.00
_cell_angle_gamma 120.00
loop_
_atom_site_label
_atom_site_type_symbol
_atom_site_fract_x
_atom_site_fract_y
_atom_site_fract_z
_atom_site_occupancy
La1 La 0.0000 0.0000 0.0000 1
Ho1 Ho 0.0000 0.0000 0.1397 1
Ir1 Ir 0.0000 0.0000 0.3330 1
Ir2 Ir 0.0000 0.0000 0.5000 1
Ir3 Ir 0.0000 0.5000 0.0830 1
# - Crystal system: trigonal


2.
# LaHoIr4, optimized geometry, DFT PBE
data_LaHoIr4
_symmetry_space_group_name_H-M 'F -4 3 m'
_symmetry_Int_Tables_number 216
_symmetry_space_group_name_Hall 'F -4 2 3'
_cell_length_a 7.657
_cell_length_b 7.657
_cell_length_c 7.657
_cell_angle_alpha 90.00
_cell_angle_beta 90.00
_cell_angle_gamma 90.00
loop_
_atom_site_label
_atom_site_type_symbol
_atom_site_fract_x
_atom_site_fract_y
_atom_site_fract_z
_atom_site_occupancy
La1 La 0.000 0.000 0.000 1
Ho1 Ho 0.250 0.250 0.750 1
Ir1 Ir 0.125 0.125 0.375 1
# - Crystal system: cubic


| no. | VASP energy (eV per atom) | spin magnetization (μB/f.u.) |
| --- | --- | --- |
| 1 | -8.41 | 0.00 |
| 2 | -8.24 | 0.00 |